The following is a DFT calculation (PBE) of a relaxed Pm8RuPt2 crystal.

Results
**Magnetic moment**: 0.000 μB per atom
**Formation enthalpy at 0 K**: -0.41 eV/atom
**Electronic total energy**: -5.80 eV per atom
**Fermi-level density of states**: 11.19 states/eV per cell
**Energy above the most stable polymorph in this dataset**: 72 meV per atom

a = 6.345 Å, b = 7.697 Å, c = 7.697 Å
α = 112.63°, β = 101.56°, γ = 101.56°
Positions (direct):
Pm  0.174  0.357  0.357
Pm  0.988  0.202  0.799
Pm  0.988  0.799  0.202
Pm  0.361  0.661  0.919
Pm  0.361  0.919  0.661
Pm  0.591  0.085  0.345
Pm  0.804  0.649  0.649
Pm  0.591  0.345  0.085
Pt  0.488  0.321  0.691
Pt  0.488  0.691  0.321
Ru  0.164  0.005  0.005

=====

The following is a DFT calculation (PBE) of a relaxed Pm4RuPt crystal.

Results
**Magnetic moment**: 0.000 μB per atom
**Formation enthalpy at 0 K**: -0.48 eV/atom
**Electronic total energy**: -6.20 eV per atom
**Fermi-level density of states**: 9.85 states/eV per cell
**Energy above the most stable polymorph in this dataset**: 43 meV per atom

a = 7.051 Å, b = 7.040 Å, c = 7.066 Å
α = 90.00°, β = 92.26°, γ = 90.00°
Positions (direct):
Pm  0.656  0.165  0.827
Pm  0.156  0.335  0.827
Pm  0.344  0.835  0.173
Pm  0.180  0.832  0.663
Pm  0.320  0.332  0.337
Pm  0.680  0.668  0.663
Pm  0.820  0.168  0.337
Pm  0.844  0.665  0.173
Ru  0.000  0.500  0.500
Ru  0.500  0.000  0.500
Pt  0.000  0.000  0.000
Pt  0.500  0.500  0.000

=====

The following is a DFT calculation (PBE) of a relaxed Pm7Ru2Pt2 crystal.

Results
**Magnetic moment**: 0.000 μB per atom
**Formation enthalpy at 0 K**: -0.39 eV/atom
**Electronic total energy**: -6.20 eV per atom
**Fermi-level density of states**: 6.09 states/eV per cell

a = 6.763 Å, b = 6.975 Å, c = 6.763 Å
α = 90.00°, β = 108.29°, γ = 90.00°
Positions (direct):
Ru  0.709  0.000  0.291
Ru  0.291  0.000  0.709
Pm  0.500  0.255  0.500
Pm  0.500  0.268  0.000
Pm  0.000  0.000  0.000
Pm  0.500  0.745  0.500
Pm  0.000  0.268  0.500
Pm  0.000  0.732  0.500
Pm  0.500  0.732  0.000
Pt  0.186  0.500  0.186
Pt  0.814  0.500  0.814

=====

The following is a DFT calculation (PBE) of a relaxed Pm4RuPt crystal.

Results
**Magnetic moment**: 0.000 μB per atom
**Formation enthalpy at 0 K**: -0.53 eV/atom
**Electronic total energy**: -6.25 eV per atom
**Fermi-level density of states**: 12.69 states/eV per cell
**Energy above the most stable polymorph in this dataset**: 0 meV per atom

a = 6.459 Å, b = 7.664 Å, c = 8.143 Å
α = 113.57°, β = 108.22°, γ = 100.28°
Positions (direct):
Pt  0.614  0.364  0.729
Pt  0.386  0.636  0.271
Ru  0.254  0.004  0.008
Ru  0.746  0.996  0.992
Pm  0.648  0.049  0.355
Pm  0.360  0.638  0.872
Pm  0.640  0.362  0.128
Pm  0.207  0.306  0.355
Pm  0.988  0.766  0.128
Pm  0.012  0.234  0.872
Pm  0.352  0.951  0.645
Pm  0.793  0.694  0.645

=====

> Look up the Fermi-level density of states of the fourth one.

12.69 states/eV per cell

=====

> What is the electronic total energy in the second record?

-6.20 eV per atom